(1)
DFT (GGA-PBE) results for a relaxed structure of La2Y2Zr.

a b c (Å): 9.411 9.411 3.604
angles (deg): 90.00 90.00 90.00
Element x y z (fractional)
La 0.825 0.325 0.500
La 0.675 0.825 0.500
La 0.325 0.175 0.500
La 0.175 0.675 0.500
Y 0.373 0.873 0.000
Y 0.627 0.127 0.000
Y 0.127 0.373 0.000
Y 0.873 0.627 0.000
Zr 0.500 0.500 0.000
Zr 0.000 0.000 0.000

Computed properties:
volume = 319.20 Å³ per cell
space group = P4/mbm, No. 127
energy of formation from the pure elements = 0.35 eV per atom



(2)
DFT (GGA-PBE) results for a relaxed structure of LaYZr.

a b c (Å): 3.476 3.476 8.549
angles (deg): 90.00 90.00 120.00
Element x y z (fractional)
La 0.000 0.000 0.982
Y 0.667 0.333 0.355
Zr 0.333 0.667 0.663

Computed properties:
volume = 89.45 Å³ per cell
space group = P3m1, No. 156
energy of formation from the pure elements = 0.13 eV per atom



(3)
DFT (GGA-PBE) results for a relaxed structure of La2YZr2.

a b c (Å): 9.317 9.317 3.491
angles (deg): 90.00 90.00 90.00
Element x y z (fractional)
Zr 0.618 0.118 0.000
Zr 0.118 0.382 0.000
Zr 0.382 0.882 0.000
Zr 0.882 0.618 0.000
Y 0.000 0.000 0.000
Y 0.500 0.500 0.000
La 0.819 0.319 0.500
La 0.319 0.181 0.500
La 0.181 0.681 0.500
La 0.681 0.819 0.500

Computed properties:
volume = 303.01 Å³ per cell
space group = P4/mbm, No. 127
energy of formation from the pure elements = 0.23 eV per atom



(4)
DFT (GGA-PBE) results for a relaxed structure of LaYZr.

a b c (Å): 3.944 3.944 11.809
angles (deg): 90.00 90.00 90.00
Element x y z (fractional)
Y 0.500 0.000 0.410
Y 0.000 0.500 0.590
Zr 0.500 0.000 0.053
Zr 0.000 0.500 0.947
La 0.500 0.000 0.781
La 0.000 0.500 0.219

Computed properties:
volume = 183.65 Å³ per cell
space group = P4/nmm, No. 129
energy of formation from the pure elements = 0.11 eV per atom



(5)
DFT (GGA-PBE) results for a relaxed structure of LaY3Zr.

a b c (Å): 5.515 5.515 5.515
angles (deg): 90.00 90.00 90.00
Element x y z (fractional)
Y 0.500 0.000 0.000
Y 0.000 0.000 0.500
Y 0.000 0.500 0.000
La 0.000 0.000 0.000
Zr 0.500 0.500 0.500

Computed properties:
volume = 167.72 Å³ per cell
space group = Pm-3m, No. 221
energy of formation from the pure elements = 1.00 eV per atom



(6)
DFT (GGA-PBE) results for a relaxed structure of La2YZr2.

a b c (Å): 9.333 9.333 3.400
angles (deg): 90.00 90.00 90.00
Element x y z (fractional)
Y 0.500 0.500 0.000
Y 0.000 0.000 0.000
La 0.822 0.678 0.000
La 0.178 0.322 0.000
La 0.322 0.822 0.000
La 0.678 0.178 0.000
Zr 0.880 0.380 0.500
Zr 0.380 0.120 0.500
Zr 0.620 0.880 0.500
Zr 0.120 0.620 0.500

Computed properties:
volume = 296.16 Å³ per cell
space group = P4/mbm, No. 127
energy of formation from the pure elements = 0.29 eV per atom



(7)
DFT (GGA-PBE) results for a relaxed structure of LaYZr.

a b c (Å): 5.282 5.282 5.282
angles (deg): 60.00 60.00 60.00
Element x y z (fractional)
La 0.000 0.000 0.000
Zr 0.750 0.750 0.750
Y 0.500 0.500 0.500

Computed properties:
volume = 104.19 Å³ per cell
space group = F-43m, No. 216
energy of formation from the pure elements = 0.74 eV per atom



(8)
DFT (GGA-PBE) results for a relaxed structure of LaYZr4.

a b c (Å): 6.152 6.152 6.152
angles (deg): 60.00 60.00 60.00
Element x y z (fractional)
Zr 0.374 0.877 0.374
Zr 0.374 0.374 0.374
Zr 0.877 0.374 0.374
Zr 0.374 0.374 0.877
Y 0.000 0.000 0.000
La 0.750 0.750 0.750

Computed properties:
volume = 164.62 Å³ per cell
space group = F-43m, No. 216
energy of formation from the pure elements = 0.25 eV per atom



(9)
DFT (GGA-PBE) results for a relaxed structure of LaY4Zr.

a b c (Å): 6.523 6.523 6.523
angles (deg): 60.00 60.00 60.00
Element x y z (fractional)
Y 0.873 0.376 0.376
Y 0.376 0.873 0.376
Y 0.376 0.376 0.873
Y 0.376 0.376 0.376
Zr 0.750 0.750 0.750
La 0.000 0.000 0.000

Computed properties:
volume = 196.26 Å³ per cell
space group = F-43m, No. 216
energy of formation from the pure elements = 0.43 eV per atom



(10)
DFT (GGA-PBE) results for a relaxed structure of LaYZr.

a b c (Å): 6.190 6.190 6.190
angles (deg): 141.89 141.89 55.00
Element x y z (fractional)
Y 0.320 0.320 0.000
Zr 0.670 0.670 0.000
La 0.009 0.009 0.000

Computed properties:
volume = 89.70 Å³ per cell
space group = I4mm, No. 107
energy of formation from the pure elements = 0.21 eV per atom



(11)
DFT (GGA-PBE) results for a relaxed structure of LaYbZn2.

a b c (Å): 5.219 5.219 5.219
angles (deg): 60.00 60.00 60.00
Element x y z (fractional)
Zn 0.500 0.500 0.500
Zn 0.000 0.000 0.000
Yb 0.250 0.250 0.250
La 0.750 0.750 0.750

Computed properties:
volume = 100.51 Å³ per cell
space group = Fm-3m, No. 225
energy of formation from the pure elements = -0.34 eV per atom



(12)
DFT (GGA-PBE) results for a relaxed structure of La3Zn2.

a b c (Å): 3.809 3.809 10.192
angles (deg): 100.77 100.77 90.00
Element x y z (fractional)
Zn 0.595 0.595 0.190
Zn 0.405 0.405 0.810
La 0.184 0.184 0.367
La 0.000 0.000 0.000
La 0.816 0.816 0.633

Computed properties:
volume = 142.61 Å³ per cell
space group = I4/mmm, No. 139
energy of formation from the pure elements = -0.25 eV per atom



(13)
DFT (GGA-PBE) results for a relaxed structure of La2Zn.

a b c (Å): 3.826 8.839 5.491
angles (deg): 90.00 90.00 77.50
Element x y z (fractional)
La 0.500 0.000 0.500
La 0.202 0.595 0.500
La 0.055 0.889 0.000
La 0.353 0.293 0.000
Zn 0.852 0.297 0.500
Zn 0.704 0.592 0.000

Computed properties:
volume = 181.29 Å³ per cell
space group = Cmcm, No. 63
energy of formation from the pure elements = -0.19 eV per atom



(14)
DFT (GGA-PBE) results for a relaxed structure of La3Zn.

a b c (Å): 5.830 5.830 5.830
angles (deg): 90.00 90.00 90.00
Element x y z (fractional)
La 0.000 0.000 0.500
La 0.000 0.500 0.000
La 0.500 0.000 0.000
Zn 0.000 0.000 0.000

Computed properties:
volume = 198.13 Å³ per cell
space group = Pm-3m, No. 221
energy of formation from the pure elements = 0.56 eV per atom



(15)
DFT (GGA-PBE) results for a relaxed structure of La3Zn5.

a b c (Å): 9.606 9.606 4.882
angles (deg): 90.00 90.00 120.00
Element x y z (fractional)
Zn 0.166 0.166 0.750
Zn 0.000 0.834 0.750
Zn 0.333 0.667 0.500
Zn 0.834 0.000 0.750
Zn 0.000 0.166 0.250
Zn 0.834 0.834 0.250
Zn 0.667 0.333 0.500
Zn 0.667 0.333 0.000
Zn 0.333 0.667 0.000
Zn 0.166 0.000 0.250
La 0.377 0.000 0.750
La 0.000 0.377 0.750
La 0.377 0.377 0.250
La 0.623 0.000 0.250
La 0.623 0.623 0.750
La 0.000 0.623 0.250

Computed properties:
volume = 390.10 Å³ per cell
space group = P6_3/mcm, No. 193
energy of formation from the pure elements = -0.16 eV per atom



(16)
DFT (GGA-PBE) results for a relaxed structure of LaZn3.

a b c (Å): 4.484 4.484 4.426
angles (deg): 90.00 90.00 90.02
Element x y z (fractional)
La 0.000 0.000 0.000
Zn 0.000 0.500 0.500
Zn 0.500 0.500 0.000
Zn 0.500 0.000 0.500

Computed properties:
volume = 88.98 Å³ per cell
space group = P4/mmm, No. 123
energy of formation from the pure elements = -0.13 eV per atom



(17)
DFT (GGA-PBE) results for a relaxed structure of La5Zn.

a b c (Å): 6.443 6.443 5.991
angles (deg): 90.00 90.00 120.00
Element x y z (fractional)
La 0.500 0.000 0.500
La 0.667 0.333 0.000
La 0.000 0.500 0.500
La 0.333 0.667 0.000
La 0.500 0.500 0.500
Zn 0.000 0.000 0.000

Computed properties:
volume = 215.38 Å³ per cell
space group = P6/mmm, No. 191
energy of formation from the pure elements = 0.48 eV per atom



(18)
DFT (GGA-PBE) results for a relaxed structure of LaZn.

a b c (Å): 8.888 8.888 8.888
angles (deg): 90.00 90.00 90.00
Element x y z (fractional)
La 0.701 0.299 0.701
La 0.701 0.701 0.299
La 0.201 0.799 0.201
La 0.799 0.201 0.201
La 0.799 0.799 0.799
La 0.299 0.701 0.701
La 0.299 0.299 0.299
La 0.201 0.201 0.799
Zn 0.893 0.893 0.107
Zn 0.393 0.607 0.393
Zn 0.893 0.107 0.893
Zn 0.107 0.893 0.893
Zn 0.607 0.607 0.607
Zn 0.393 0.393 0.607
Zn 0.107 0.107 0.107
Zn 0.607 0.393 0.393

Computed properties:
volume = 702.02 Å³ per cell
space group = I-43m, No. 217
energy of formation from the pure elements = 0.41 eV per atom



(19)
DFT (GGA-PBE) results for a relaxed structure of La3Zn.

a b c (Å): 3.823 3.823 10.634
angles (deg): 90.00 90.00 120.00
Element x y z (fractional)
Zn 0.333 0.667 0.750
La 0.000 0.000 0.962
La 0.000 0.000 0.538
La 0.333 0.667 0.250

Computed properties:
volume = 134.57 Å³ per cell
space group = P-6m2, No. 187
energy of formation from the pure elements = -0.01 eV per atom



(20)
DFT (GGA-PBE) results for a relaxed structure of LaZn3.

a b c (Å): 3.748 4.559 5.320
angles (deg): 90.00 89.99 90.01
Element x y z (fractional)
Zn 0.500 0.000 0.500
Zn 0.500 0.500 0.258
Zn 0.500 0.500 0.742
La 0.000 0.000 0.000

Computed properties:
volume = 90.91 Å³ per cell
space group = Pmmm, No. 47
energy of formation from the pure elements = -0.17 eV per atom



(21)
DFT (GGA-PBE) results for a relaxed structure of LaZn.

a b c (Å): 5.042 5.042 5.042
angles (deg): 64.69 64.69 64.69
Element x y z (fractional)
La 0.643 0.643 0.643
La 0.357 0.357 0.357
Zn 0.896 0.896 0.896
Zn 0.104 0.104 0.104

Computed properties:
volume = 99.96 Å³ per cell
space group = R-3m, No. 166
energy of formation from the pure elements = -0.01 eV per atom



(22)
DFT (GGA-PBE) results for a relaxed structure of LaZn3.

a b c (Å): 6.448 6.448 9.761
angles (deg): 90.00 90.00 60.00
Element x y z (fractional)
La 0.000 0.000 0.000
La 0.667 0.667 0.250
La 0.000 0.000 0.500
La 0.333 0.333 0.750
Zn 0.000 0.500 0.000
Zn 0.190 0.190 0.250
Zn 0.500 0.500 0.000
Zn 0.500 0.000 0.500
Zn 0.000 0.500 0.500
Zn 0.500 0.000 0.000
Zn 0.190 0.621 0.250
Zn 0.810 0.810 0.750
Zn 0.621 0.190 0.250
Zn 0.500 0.500 0.500
Zn 0.379 0.810 0.750
Zn 0.810 0.379 0.750

Computed properties:
volume = 351.50 Å³ per cell
space group = P6_3/mmc, No. 194
energy of formation from the pure elements = -0.17 eV per atom



(23)
DFT (GGA-PBE) results for a relaxed structure of LaZn2.

a b c (Å): 6.532 6.532 6.126
angles (deg): 62.36 62.36 38.03
Element x y z (fractional)
La 0.672 0.672 0.324
La 0.328 0.328 0.676
Zn 0.002 0.002 0.777
Zn 0.998 0.998 0.223
Zn 0.386 0.386 0.119
Zn 0.614 0.614 0.881

Computed properties:
volume = 140.32 Å³ per cell
space group = C2/m, No. 12
energy of formation from the pure elements = -0.26 eV per atom



(24)
DFT (GGA-PBE) results for a relaxed structure of LaZn.

a b c (Å): 6.208 6.208 6.208
angles (deg): 144.97 131.24 61.44
Element x y z (fractional)
La 0.358 0.608 0.250
La 0.642 0.392 0.750
Zn 0.914 0.164 0.250
Zn 0.086 0.836 0.750

Computed properties:
volume = 102.21 Å³ per cell
space group = Imma, No. 74
energy of formation from the pure elements = -0.27 eV per atom



(25)
DFT (GGA-PBE) results for a relaxed structure of La3Zn11.

a b c (Å): 4.572 8.425 8.425
angles (deg): 64.05 74.26 74.26
Element x y z (fractional)
Zn 0.861 0.423 0.856
Zn 0.861 0.856 0.423
Zn 0.000 0.500 0.500
Zn 0.139 0.577 0.144
Zn 0.657 0.701 0.985
Zn 0.500 0.318 0.682
Zn 0.343 0.015 0.299
Zn 0.657 0.985 0.701
Zn 0.500 0.682 0.318
Zn 0.139 0.144 0.577
Zn 0.343 0.299 0.015
La 0.297 0.703 0.703
La 0.000 0.000 0.000
La 0.703 0.297 0.297

Computed properties:
volume = 276.48 Å³ per cell
space group = Immm, No. 71
energy of formation from the pure elements = -0.33 eV per atom



(26)
DFT (GGA-PBE) results for a relaxed structure of La2Zn.

a b c (Å): 3.745 6.529 9.186
angles (deg): 58.55 90.00 106.67
Element x y z (fractional)
Zn 0.404 0.808 0.348
Zn 0.652 0.303 0.041
La 0.369 0.739 0.752
La 0.686 0.372 0.637
La 0.942 0.883 0.040
La 0.114 0.228 0.348

Computed properties:
volume = 180.46 Å³ per cell
space group = C2/m, No. 12
energy of formation from the pure elements = -0.17 eV per atom